1.
An optimized crystal structure of CuPb2Br. Source: Alexandria, functional PBE.

a b c (Å): 8.040 8.040 8.040
angles (deg): 131.90 131.90 70.39
Fractional positions:
Cu 0.000 0.000 0.000
Cu 0.750 0.250 0.500
Pb 0.049 0.625 0.924
Pb 0.375 0.299 0.424
Pb 0.701 0.125 0.076
Pb 0.875 0.951 0.576
Br 0.250 0.750 0.500
Br 0.500 0.500 0.000

Summary:
Its space group is I-42d, No. 122. For the formation energy (no corrections), the calculation gives 0.110 eV/atom. The calculated volume comes out at 282 Å³/cell. The uncorrected energy comes out at -25.5 eV for the cell shown.

***

2.
An optimized crystal structure of Cu2PbBr. Source: Alexandria, functional PBE.

a b c (Å): 3.695 4.002 5.948
angles (deg): 90.00 90.00 90.00
Fractional positions:
Cu 0.000 0.000 0.000
Cu 0.500 0.000 0.500
Pb 0.000 0.500 0.500
Br 0.500 0.500 0.000

Summary:
Its space group is Pmmm, No. 47. For the formation energy (no corrections), the calculation gives 0.332 eV/atom. The calculated volume comes out at 88 Å³/cell. The uncorrected energy comes out at -12.2 eV for the cell shown.

***

Copy entry 1 word for word.
An optimized crystal structure of CuPb2Br. Source: Alexandria, functional PBE.

a b c (Å): 8.040 8.040 8.040
angles (deg): 131.90 131.90 70.39
Fractional positions:
Cu 0.000 0.000 0.000
Cu 0.750 0.250 0.500
Pb 0.049 0.625 0.924
Pb 0.375 0.299 0.424
Pb 0.701 0.125 0.076
Pb 0.875 0.951 0.576
Br 0.250 0.750 0.500
Br 0.500 0.500 0.000

Summary:
Its space group is I-42d, No. 122. For the formation energy (no corrections), the calculation gives 0.110 eV/atom. The calculated volume comes out at 282 Å³/cell. The uncorrected energy comes out at -25.5 eV for the cell shown.

***

Please write out number 2 again, unchanged.
An optimized crystal structure of Cu2PbBr. Source: Alexandria, functional PBE.

a b c (Å): 3.695 4.002 5.948
angles (deg): 90.00 90.00 90.00
Fractional positions:
Cu 0.000 0.000 0.000
Cu 0.500 0.000 0.500
Pb 0.000 0.500 0.500
Br 0.500 0.500 0.000

Summary:
Its space group is Pmmm, No. 47. For the formation energy (no corrections), the calculation gives 0.332 eV/atom. The calculated volume comes out at 88 Å³/cell. The uncorrected energy comes out at -12.2 eV for the cell shown.

***

- calculated volume of number 1 (CuPb2Br)?
  282 Å³/cell